First-principles (PBE) data for crystalline ScCuIrC2 at its relaxed geometry, as listed in the Alexandria database.

a b c (Å): 4.111 4.940 4.111
angles (deg): 90.00 90.00 90.00
Sites, in units of the cell vectors:
Sc  0.000  0.000  0.000
C  0.000  0.000  0.500
C  0.500  0.000  0.000
Ir  0.000  0.500  0.000
Cu  0.500  0.500  0.500

Output
raw total energy: -5.234 eV/atom


First-principles (PBE) data for crystalline Sr2CuIrC at its relaxed geometry, as listed in the Alexandria database.

a b c (Å): 5.474 5.474 3.868
angles (deg): 90.00 90.00 90.00
Sites, in units of the cell vectors:
Sr  0.000  0.500  0.000
Sr  0.500  0.000  0.000
C  0.000  0.000  0.000
Ir  0.000  0.000  0.500
Cu  0.500  0.500  0.500

Output
raw total energy: -5.199 eV/atom


First-principles (PBE) data for crystalline Y2CuIrC at its relaxed geometry, as listed in the Alexandria database.

a b c (Å): 4.966 4.966 3.858
angles (deg): 90.00 90.00 90.00
Sites, in units of the cell vectors:
Y  0.500  0.000  0.000
Y  0.000  0.500  0.000
Cu  0.500  0.500  0.500
C  0.000  0.000  0.000
Ir  0.000  0.000  0.500

Output
raw total energy: -7.472 eV/atom


First-principles (PBE) data for crystalline ZnCu2IrC at its relaxed geometry, as listed in the Alexandria database.

a b c (Å): 4.307 4.307 4.609
angles (deg): 90.00 90.00 90.00
Site moments in Bohr magnetons follow the coordinates.
Sites, in units of the cell vectors:
Cu  0.000  0.500  0.000  0.01
Cu  0.500  0.000  0.000  0.01
Ir  0.000  0.000  0.500  0.13
Zn  0.000  0.000  0.000  0.00
C  0.500  0.500  0.500  0.09

Output
raw total energy: -3.300 eV/atom


First-principles (PBE) data for crystalline ZrCuIr2C at its relaxed geometry, as listed in the Alexandria database.

a b c (Å): 4.074 4.287 4.074
angles (deg): 90.00 90.00 90.00
Sites, in units of the cell vectors:
Ir  0.500  0.000  0.000
Ir  0.000  0.000  0.500
Cu  0.000  0.500  0.000
Zr  0.500  0.500  0.500
C  0.000  0.000  0.000

Output
raw total energy: -7.855 eV/atom


First-principles (PBE) data for crystalline KCuC3 at its relaxed geometry, as listed in the Alexandria database.

a b c (Å): 4.393 4.393 4.393
angles (deg): 90.00 90.00 90.00
Sites, in units of the cell vectors:
C  0.000  0.500  0.000
C  0.000  0.000  0.500
C  0.500  0.000  0.000
Cu  0.500  0.500  0.500
K  0.000  0.000  0.000

Output
ΔE to the lowest computed polymorph: 1837 meV/atom


First-principles (PBE) data for crystalline KCuC3 at its relaxed geometry, as listed in the Alexandria database.

a b c (Å): 4.058 4.058 4.058
angles (deg): 90.00 90.00 90.00
Sites, in units of the cell vectors:
C  0.500  0.000  0.000
C  0.000  0.000  0.500
C  0.000  0.500  0.000
Cu  0.000  0.000  0.000
K  0.500  0.500  0.500

Output
ΔE to the lowest computed polymorph: 0 meV/atom


First-principles (PBE) data for crystalline KCu3C at its relaxed geometry, as listed in the Alexandria database.

a b c (Å): 4.146 4.146 4.146
angles (deg): 90.00 90.00 90.00
Sites, in units of the cell vectors:
Cu  0.000  0.500  0.000
Cu  0.500  0.000  0.000
Cu  0.000  0.000  0.500
C  0.000  0.000  0.000
K  0.500  0.500  0.500

Output
ΔE to the lowest computed polymorph: 0 meV/atom


First-principles (PBE) data for crystalline KCu3C at its relaxed geometry, as listed in the Alexandria database.

a b c (Å): 5.143 5.143 5.143
angles (deg): 90.00 90.00 90.00
Site moments in Bohr magnetons follow the coordinates.
Sites, in units of the cell vectors:
Cu  0.000  0.000  0.500  0.01
Cu  0.500  0.000  0.000  -0.05
Cu  0.000  0.500  0.000  -0.02
K  0.000  0.000  0.000  -0.03
C  0.500  0.500  0.500  0.80

Output
ΔE to the lowest computed polymorph: 2370 meV/atom


First-principles (PBE) data for crystalline K3CuC at its relaxed geometry, as listed in the Alexandria database.

a b c (Å): 5.694 5.694 5.694
angles (deg): 90.00 90.00 90.00
Site moments in Bohr magnetons follow the coordinates.
Sites, in units of the cell vectors:
K  0.500  0.000  0.000  0.02
K  0.000  0.500  0.000  0.02
K  0.000  0.000  0.500  0.03
Cu  0.500  0.500  0.500  0.02
C  0.000  0.000  0.000  0.91

Output
ΔE to the lowest computed polymorph: 0 meV/atom


First-principles (PBE) data for crystalline KCuMo2C at its relaxed geometry, as listed in the Alexandria database.

a b c (Å): 4.547 4.223 4.547
angles (deg): 90.00 90.00 90.00
Sites, in units of the cell vectors:
Mo  0.000  0.000  0.500
Mo  0.500  0.000  0.000
K  0.000  0.000  0.000
C  0.000  0.500  0.000
Cu  0.500  0.500  0.500

Output
raw total energy: -3.482 eV/atom


First-principles (PBE) data for crystalline K2CuCN at its relaxed geometry, as listed in the Alexandria database.

a b c (Å): 6.033 2.643 6.033
angles (deg): 90.00 90.00 90.00
Sites, in units of the cell vectors:
C  0.000  0.500  0.000
N  0.000  0.000  0.000
K  0.000  0.000  0.500
K  0.500  0.000  0.000
Cu  0.500  0.500  0.500

Output
raw formation energy: 0.90 eV per atom


First-principles (PBE) data for crystalline KNaCuC2 at its relaxed geometry, as listed in the Alexandria database.

a b c (Å): 5.415 5.689 5.415
angles (deg): 90.00 90.00 90.00
Site moments in Bohr magnetons follow the coordinates.
Sites, in units of the cell vectors:
C  0.500  0.000  0.000  1.13
C  0.000  0.000  0.500  1.09
Cu  0.000  0.500  0.000  -0.02
K  0.000  0.000  0.000  0.08
Na  0.500  0.500  0.500  0.01

Output
raw total energy: -2.194 eV/atom


First-principles (PBE) data for crystalline KCuC2O6 at its relaxed geometry, as listed in the Alexandria database.

a b c (Å): 4.841 4.841 6.810
angles (deg): 69.18 69.18 60.00
Site moments in Bohr magnetons follow the coordinates.
Sites, in units of the cell vectors:
C  0.227  0.227  0.318  -0.01
C  0.773  0.773  0.682  -0.01
Cu  0.500  0.500  0.500  0.85
O  0.731  0.055  0.689  0.17
O  0.055  0.525  0.689  0.17
O  0.475  0.269  0.311  0.17
O  0.525  0.731  0.689  0.17
O  0.945  0.475  0.311  0.17
O  0.269  0.945  0.311  0.17
K  0.000  0.000  0.000  0.00

Output
raw formation energy: -1.23 eV per atom


First-principles (PBE) data for crystalline K2CuCO4 at its relaxed geometry, as listed in the Alexandria database.

a b c (Å): 4.886 5.896 10.085
angles (deg): 84.24 75.98 65.52
Site moments in Bohr magnetons follow the coordinates.
Sites, in units of the cell vectors:
O  0.557  0.151  0.081  0.13
O  0.961  0.651  0.581  0.13
O  0.458  0.349  0.581  0.13
O  0.362  0.849  0.081  0.13
O  0.789  0.849  0.919  0.13
O  0.193  0.349  0.419  0.13
O  0.388  0.651  0.419  0.13
O  0.292  0.151  0.919  0.13
C  0.250  0.500  0.500  -0.01
C  0.500  0.000  0.000  -0.01
K  0.176  0.000  0.648  0.00
K  0.574  0.500  0.852  0.00
K  0.926  0.500  0.148  0.00
K  0.824  0.000  0.352  0.00
Cu  0.750  0.500  0.500  0.46
Cu  0.000  0.000  0.000  0.46

Output
raw formation energy: -1.16 eV per atom


First-principles (PBE) data for crystalline K2CuPCO7 at its relaxed geometry, as listed in the Alexandria database.

a b c (Å): 8.831 5.070 8.776
angles (deg): 92.77 93.62 90.21
Sites, in units of the cell vectors:
C  0.225  0.261  0.108
C  0.775  0.739  0.892
O  0.892  0.231  0.395
O  0.666  0.123  0.549
O  0.696  0.589  0.455
O  0.767  0.551  0.780
O  0.791  0.698  0.029
O  0.209  0.302  0.971
O  0.334  0.877  0.451
O  0.382  0.766  0.731
O  0.618  0.234  0.269
O  0.233  0.449  0.220
O  0.760  0.972  0.832
O  0.108  0.769  0.605
O  0.240  0.028  0.168
O  0.304  0.411  0.545
K  0.516  0.737  0.211
K  0.484  0.263  0.789
K  0.026  0.263  0.703
K  0.974  0.737  0.297
P  0.724  0.282  0.412
P  0.276  0.718  0.588
Cu  0.724  0.805  0.632
Cu  0.276  0.195  0.368

Output
raw formation energy: -1.66 eV per atom


First-principles (PBE) data for crystalline KCuPd2C at its relaxed geometry, as listed in the Alexandria database.

a b c (Å): 4.064 5.410 4.064
angles (deg): 90.00 90.00 90.00
Sites, in units of the cell vectors:
Pd  0.000  0.000  0.500
Pd  0.500  0.000  0.000
K  0.000  0.500  0.000
C  0.000  0.000  0.000
Cu  0.500  0.500  0.500

Output
raw total energy: -4.292 eV/atom


First-principles (PBE) data for crystalline KSc2CuC at its relaxed geometry, as listed in the Alexandria database.

a b c (Å): 4.447 5.641 4.447
angles (deg): 90.00 90.00 90.00
Sites, in units of the cell vectors:
Sc  0.000  0.000  0.500
Sc  0.500  0.000  0.000
Cu  0.500  0.500  0.500
K  0.000  0.500  0.000
C  0.000  0.000  0.000

Output
raw total energy: -5.087 eV/atom


First-principles (PBE) data for crystalline K2ScCuC at its relaxed geometry, as listed in the Alexandria database.

a b c (Å): 6.868 4.815 6.868
angles (deg): 90.00 90.00 90.00
Site moments in Bohr magnetons follow the coordinates.
Sites, in units of the cell vectors:
Cu  0.000  0.500  0.000  0.00
Sc  0.000  0.000  0.000  -0.84
K  0.500  0.000  0.000  -0.02
K  0.000  0.000  0.500  -0.02
C  0.500  0.500  0.500  1.08

Output
raw total energy: -2.453 eV/atom


First-principles (PBE) data for crystalline LaCuC3 at its relaxed geometry, as listed in the Alexandria database.

a b c (Å): 3.995 3.995 3.995
angles (deg): 90.00 90.00 90.00
Sites, in units of the cell vectors:
La  0.500  0.500  0.500
Cu  0.000  0.000  0.000
C  0.000  0.500  0.000
C  0.500  0.000  0.000
C  0.000  0.000  0.500

Output
ΔE to the lowest computed polymorph: 0 meV/atom